No. 1
The following is a DFT calculation (PBE) of Al2FeSi after structural relaxation.

Lattice parameters (Å, degrees): 2.8279 2.8279 23.9903 90.00 90.00 120.00
Positions (direct):
Al 0.0000 0.0000 0.0000
Al 0.0000 0.0000 0.2379
Al 0.3333 0.6667 0.6667
Al 0.3333 0.6667 0.9045
Al 0.6667 0.3333 0.3333
Al 0.6667 0.3333 0.5712
Fe 0.0000 0.0000 0.4927
Fe 0.3333 0.6667 0.1594
Fe 0.6667 0.3333 0.8260
Si 0.0000 0.0000 0.7584
Si 0.3333 0.6667 0.4251
Si 0.6667 0.3333 0.0918

## Properties
Formation energy (no corrections) in kcal/mol of atoms: -1.9
Space-group type: R3m, No. 160

=====

No. 2
The following is a DFT calculation (PBE) of Al2FeSi after structural relaxation.

Lattice parameters (Å, degrees): 2.7506 2.7506 7.2268 90.00 90.00 90.00
Positions (direct):
Al 0.0000 0.0000 0.0000
Al 0.5000 0.5000 0.3106
Fe 0.0000 0.0000 0.5325
Si 0.5000 0.5000 0.7120

## Properties
Formation energy (no corrections) in kcal/mol of atoms: -3.6
Space-group type: P4mm, No. 99